The following is a DFT calculation (PBE) of crystalline NaY2Cd at its relaxed geometry.

The structure in POSCAR format:
```
NaY2Cd
1.0
5.346 0.000 0.000
0.000 5.346 0.000
0.000 0.000 3.927
Na Y Cd
1 2 1
Cartesian
0.000 0.000 0.000 Na
0.000 2.673 1.963 Y
2.673 0.000 1.963 Y
2.673 2.673 0.000 Cd
```

Computed properties:
M_tot ... 0.0 μB/f.u.
Theoretical density ... 4.63 Mg/m³
Energy of formation ... 0.0170 eV per atom
E ... -15.09 eV/cell

---

The following is a DFT calculation (PBE) of crystalline Pm8GaSb5 at its relaxed geometry.

The structure in POSCAR format:
```
Pm8GaSb5
1.0
-4.686 4.686 4.739
4.686 -4.686 4.739
4.686 4.686 -4.739
Pm Ga Sb
8 1 5
Cartesian
4.028 2.933 -2.875 Pm
4.020 1.661 0.483 Pm
3.025 -0.667 4.257 Pm
0.659 1.754 1.864 Pm
1.661 5.353 -0.483 Pm
1.754 -0.659 7.614 Pm
2.933 5.345 2.875 Pm
0.667 3.025 5.222 Pm
0.000 4.686 2.370 Ga
2.337 -1.143 1.204 Sb
5.830 -2.349 3.535 Sb
7.036 1.143 1.204 Sb
0.000 0.000 4.739 Sb
3.543 2.349 3.535 Sb
```

Computed properties:
M_tot ... 0.0 μB/f.u.
Theoretical density ... 7.33 Mg/m³
E ... -75.18 eV/cell

---

The following is a DFT calculation (PBE) of crystalline TbTm2Ru3 at its relaxed geometry.

The structure in POSCAR format:
```
TbTm2Ru3
1.0
3.380 0.000 0.000
0.000 3.380 0.000
0.000 0.000 10.072
Tb Tm Ru
1 2 3
Cartesian
0.000 0.000 0.000 Tb
0.000 0.000 3.377 Tm
0.000 0.000 6.695 Tm
1.690 1.690 1.712 Ru
1.690 1.690 5.036 Ru
1.690 1.690 8.360 Ru
```

Computed properties:
M_tot ... 0.0 μB/f.u.
Theoretical density ... 11.55 Mg/m³
Polymorph energy (0 for the lowest one) ... 0 meV per atom
Energy of formation ... -0.3770 eV per atom
E ... -43.66 eV/cell

---

The following is a DFT calculation (PBE) of crystalline LiBiPd3 at its relaxed geometry.

The structure in POSCAR format:
```
LiBiPd3
1.0
5.107 0.000 0.000
0.000 5.107 0.000
0.000 0.000 5.107
Li Bi Pd
1 1 3
Cartesian
0.000 0.000 0.000 Li
2.554 2.554 2.554 Bi
0.000 2.554 2.554 Pd
2.554 0.000 2.554 Pd
2.554 2.554 0.000 Pd
```

Computed properties:
M_tot ... 0.0 μB/f.u.
Theoretical density ... 6.67 Mg/m³
Polymorph energy (0 for the lowest one) ... 649 meV per atom
Energy of formation ... 0.3728 eV per atom
E ... -19.51 eV/cell

---

The following is a DFT calculation (PBE) of crystalline TiCuNiPt at its relaxed geometry.

The structure in POSCAR format:
```
TiCuNiPt
1.0
0.000 3.023 3.023
3.023 0.000 3.023
3.023 3.023 0.000
Ti Cu Ni Pt
1 1 1 1
Cartesian
0.000 0.000 0.000 Ti
4.534 4.534 4.534 Cu
3.023 3.023 3.023 Ni
1.511 1.511 1.511 Pt
```

Computed properties:
M_tot ... 0.0 μB/f.u.
Theoretical density ... 10.98 Mg/m³
Polymorph energy (0 for the lowest one) ... 118 meV per atom
Energy of formation ... -0.3578 eV per atom
E ... -25.24 eV/cell

---

The following is a DFT calculation (PBE) of crystalline SnBi3Sb at its relaxed geometry.

The structure in POSCAR format:
```
SnBi3Sb
1.0
5.847 0.000 0.000
0.000 5.847 0.000
0.000 0.000 5.847
Sn Bi Sb
1 3 1
Cartesian
0.000 0.000 0.000 Sn
0.000 2.924 2.924 Bi
2.924 0.000 2.924 Bi
2.924 2.924 0.000 Bi
2.924 2.924 2.924 Sb
```

Computed properties:
M_tot ... 0.0 μB/f.u.
Theoretical density ... 7.21 Mg/m³
Polymorph energy (0 for the lowest one) ... 0 meV per atom
E ... -16.24 eV/cell

---

The following is a DFT calculation (PBE) of crystalline HfHgS2 at its relaxed geometry.

The structure in POSCAR format:
```
HfHgS2
1.0
5.523 -5.523 0.000
5.523 5.523 0.000
-2.663 0.000 19.394
Hf Hg S
8 8 16
Cartesian
2.162 3.432 15.937 Hf
2.164 0.704 13.153 Hf
4.891 3.432 13.154 Hf
3.495 -0.704 3.456 Hf
4.889 0.704 15.938 Hf
3.493 -3.432 6.240 Hf
6.220 -0.704 6.241 Hf
6.222 -3.432 3.457 Hf
4.834 3.476 1.602 Hg
2.110 0.706 8.097 Hg
4.881 3.476 8.095 Hg
0.778 -0.706 17.794 Hg
7.605 0.706 1.600 Hg
3.502 -3.476 11.299 Hg
6.274 -0.706 11.297 Hg
3.550 -3.476 17.791 Hg
0.768 2.067 14.545 S
3.526 4.825 14.545 S
2.096 0.694 2.085 S
0.765 -0.694 11.782 S
3.528 2.068 11.716 S
3.525 2.068 17.375 S
2.100 -2.067 4.848 S
4.858 0.691 4.848 S
3.526 -0.691 14.545 S
6.284 2.067 14.546 S
4.859 -2.068 2.019 S
4.856 -2.068 7.678 S
7.619 0.694 7.612 S
6.287 -0.694 17.309 S
4.858 -4.825 4.848 S
7.615 -2.067 4.849 S
```

Computed properties:
M_tot ... 0.0 μB/f.u.
Theoretical density ... 4.98 Mg/m³
E ... -177.52 eV/cell

---

The following is a DFT calculation (PBE) of crystalline KMn2InCl6 at its relaxed geometry.

The structure in POSCAR format:
```
KMn2InCl6
1.0
6.970 -6.681 0.000
6.970 6.681 0.000
-1.274 0.000 7.094
K Mn In Cl
2 4 2 12
Cartesian
6.015 3.990 5.320 K
6.652 -3.990 1.773 K
1.886 1.174 5.543 Mn
2.523 -1.174 1.996 Mn
10.144 1.174 5.098 Mn
10.781 -1.174 1.551 Mn
6.652 1.311 1.773 In
6.015 -1.311 5.320 In
1.967 0.678 0.515 Cl
4.707 3.602 2.504 Cl
1.330 -0.678 4.062 Cl
4.171 1.343 5.922 Cl
8.597 3.602 1.043 Cl
4.808 -1.343 2.375 Cl
7.859 1.343 4.719 Cl
4.070 -3.602 6.051 Cl
8.496 -1.343 1.172 Cl
11.337 0.678 3.032 Cl
7.960 -3.602 4.590 Cl
10.700 -0.678 6.579 Cl
```

Computed properties:
M_tot ... 10.0 μB/f.u.
Theoretical density ... 2.40 Mg/m³
E ... -90.70 eV/cell

---

The following is a DFT calculation (PBE) of crystalline TbLu2Se at its relaxed geometry.

The structure in POSCAR format:
```
TbLu2Se
1.0
1.805 1.042 10.367
-1.805 1.042 10.367
0.000 -2.084 10.367
Tb Lu Se
1 2 1
Cartesian
0.000 0.000 0.000 Tb
0.000 0.000 3.357 Lu
0.000 0.000 27.743 Lu
0.000 0.000 15.550 Se
```

Computed properties:
M_tot ... 0.2 μB/f.u.
Theoretical density ... 8.34 Mg/m³
Polymorph energy (0 for the lowest one) ... 169 meV per atom
E ... -19.08 eV/cell

---

The following is a DFT calculation (PBE) of crystalline Rb4La3BiSe8 at its relaxed geometry.

The structure in POSCAR format:
```
Rb4La3BiSe8
1.0
4.443 2.565 8.004
-4.443 2.565 8.004
0.000 -5.130 8.004
Rb La Bi Se
4 3 1 8
Cartesian
0.000 0.000 0.000 Rb
-2.221 -1.283 8.004 Rb
-2.221 1.283 16.009 Rb
0.000 2.565 8.004 Rb
-4.443 0.000 12.007 La
-2.221 1.283 4.002 La
2.221 1.283 4.002 La
0.000 0.000 12.007 Bi
0.000 0.000 5.620 Se
-2.201 -1.270 13.623 Se
0.000 -2.541 10.390 Se
-2.201 1.270 10.390 Se
2.201 -1.270 13.623 Se
0.000 2.541 13.623 Se
2.201 1.270 10.390 Se
0.000 0.000 18.393 Se
```

Computed properties:
M_tot ... 0.0 μB/f.u.
Theoretical density ... 4.85 Mg/m³
E ... -75.31 eV/cell

---

The following is a DFT calculation (PBE) of crystalline CsSNCl2 at its relaxed geometry.

The structure in POSCAR format:
```
CsSNCl2
1.0
6.467 0.000 0.000
0.000 6.467 0.000
0.000 0.000 3.374
Cs S N Cl
1 1 1 2
Cartesian
0.000 0.000 0.000 Cs
3.233 3.233 0.000 S
3.233 3.233 1.687 N
0.000 3.233 1.687 Cl
3.233 0.000 1.687 Cl
```

Computed properties:
M_tot ... 0.0 μB/f.u.
Theoretical density ... 2.94 Mg/m³
Polymorph energy (0 for the lowest one) ... 0 meV per atom
E ... -16.91 eV/cell

---

The following is a DFT calculation (PBE) of crystalline Y2CrRe at its relaxed geometry.

The structure in POSCAR format:
```
Y2CrRe
1.0
3.559 0.000 0.000
0.000 3.559 0.000
0.000 0.000 6.985
Y Cr Re
2 1 1
Cartesian
0.000 0.000 1.610 Y
0.000 0.000 5.375 Y
1.780 1.780 3.493 Cr
1.780 1.780 0.000 Re
```

Computed properties:
M_tot ... 4.7 μB/f.u.
Theoretical density ... 7.81 Mg/m³
Polymorph energy (0 for the lowest one) ... 236 meV per atom
Energy of formation ... 0.4073 eV per atom
E ... -33.37 eV/cell